# PrNd2Y4Sc, optimized geometry, DFT GGA-PBE
# VASP energy, eV per atom: -5.41
# Crystal system: orthorhombic
data_PrNd2Y4Sc
_chemical_formula_sum 'Pr4 Nd8 Y16 Sc4'
_symmetry_space_group_name_H-M 'I m m a'
_symmetry_Int_Tables_number 74
_symmetry_space_group_name_Hall '-I 2b 2'
_cell_length_a 6.820
_cell_length_b 11.833
_cell_length_c 13.212
_cell_angle_alpha 90.00
_cell_angle_beta 90.00
_cell_angle_gamma 90.00
loop_
_atom_site_label
_atom_site_fract_x
_atom_site_fract_y
_atom_site_fract_z
Pr1 0.000 0.000 0.000
Nd1 0.000 0.000 0.500
Nd2 0.250 0.250 0.250
Y1 0.000 0.016 0.750
Y2 0.250 0.250 0.515
Sc1 0.250 0.250 0.750

---

# CoCu2SiBi, optimized geometry, DFT GGA-PBE
# VASP energy, eV per atom: -4.53
# Crystal system: tetragonal
# Formation energy (no corrections), eV per atom: 0.3896
data_CoCu2SiBi
_chemical_formula_sum 'Co1 Cu2 Si1 Bi1'
_symmetry_space_group_name_H-M 'P 4/m m m'
_symmetry_Int_Tables_number 123
_symmetry_space_group_name_Hall '-P 4 2'
_cell_length_a 4.473
_cell_length_b 4.473
_cell_length_c 4.331
_cell_angle_alpha 90.00
_cell_angle_beta 90.00
_cell_angle_gamma 90.00
loop_
_atom_site_label
_atom_site_fract_x
_atom_site_fract_y
_atom_site_fract_z
Co1 0.000 0.000 0.000
Cu1 0.000 0.500 0.500
Si1 0.000 0.000 0.500
Bi1 0.500 0.500 0.000

---

# TbDy2Er5, optimized geometry, DFT GGA-PBE
# VASP energy, eV per atom: -4.56
# Crystal system: orthorhombic
# Offset from the most stable computed form, meV per atom: 0
data_TbDy2Er5
_chemical_formula_sum 'Tb2 Dy4 Er10'
_symmetry_space_group_name_H-M 'P b a m'
_symmetry_Int_Tables_number 55
_cell_length_a 7.027
_cell_length_b 14.056
_cell_length_c 4.964
_cell_angle_alpha 90.00
_cell_angle_beta 90.00
_cell_angle_gamma 90.00
loop_
_symmetry_equiv_pos_as_xyz
'x,y,z'
'-x,-y,-z'
'-x,-y,z'
'x,y,-z'
'x+1/2,-y+1/2,-z'
'-x+1/2,y+1/2,z'
'-x+1/2,y+1/2,-z'
'x+1/2,-y+1/2,z'
loop_
_atom_site_label
_atom_site_fract_x
_atom_site_fract_y
_atom_site_fract_z
Tb1 0.000 0.000 0.000
Dy1 0.250 0.125 0.500
Er1 0.000 0.250 0.000
Er2 0.000 0.500 0.000
Er3 0.250 0.375 0.500

---

# CeSiI, optimized geometry, DFT GGA-PBE
# VASP energy, eV per atom: -5.33
# Crystal system: trigonal
# Offset from the most stable computed form, meV per atom: 0
# Formation energy (no corrections), eV per atom: -1.0278
data_CeSiI
_chemical_formula_sum 'Ce2 Si2 I2'
_symmetry_space_group_name_H-M 'P -3 m 1'
_symmetry_Int_Tables_number 164
_symmetry_space_group_name_Hall '-P 3 2"'
_cell_length_a 4.1517
_cell_length_b 4.1517
_cell_length_c 12.1027
_cell_angle_alpha 90.00
_cell_angle_beta 90.00
_cell_angle_gamma 120.00
loop_
_atom_site_label
_atom_site_fract_x
_atom_site_fract_y
_atom_site_fract_z
Ce1 0.0000 0.0000 0.1597
Si1 0.3333 0.6667 0.9958
I1 0.3333 0.6667 0.3387

---

# Sc6Zn3Pd, optimized geometry, DFT GGA-PBE
# VASP energy, eV per atom: -5.06
# Crystal system: monoclinic
data_Sc6Zn3Pd
_chemical_formula_sum 'Sc12 Zn6 Pd2'
_symmetry_space_group_name_H-M 'P 1 21/m 1'
_symmetry_Int_Tables_number 11
_cell_length_a 8.349
_cell_length_b 4.767
_cell_length_c 10.430
_cell_angle_alpha 90.00
_cell_angle_beta 108.10
_cell_angle_gamma 90.00
loop_
_symmetry_equiv_pos_as_xyz
'x,y,z'
'-x,-y,-z'
'-x,y+1/2,-z'
'x,-y+1/2,z'
loop_
_atom_site_label
_atom_site_fract_x
_atom_site_fract_y
_atom_site_fract_z
Sc1 0.033 0.250 0.409
Sc2 0.157 0.750 0.173
Sc3 0.253 0.250 0.002
Sc4 0.341 0.750 0.816
Sc5 0.370 0.250 0.339
Sc6 0.392 0.250 0.627
Zn1 0.026 0.750 0.878
Zn2 0.108 0.250 0.716
Zn3 0.273 0.750 0.475
Pd1 0.450 0.750 0.099

---

# ReB3C, optimized geometry, DFT GGA-PBE
# VASP energy, eV per atom: -6.70
# Crystal system: cubic
# Offset from the most stable computed form, meV per atom: 0
data_ReB3C
_chemical_formula_sum 'Re1 B3 C1'
_symmetry_space_group_name_H-M 'P m -3 m'
_symmetry_Int_Tables_number 221
_symmetry_space_group_name_Hall '-P 4 2 3'
_cell_length_a 3.455
_cell_length_b 3.455
_cell_length_c 3.455
_cell_angle_alpha 90.00
_cell_angle_beta 90.00
_cell_angle_gamma 90.00
loop_
_atom_site_label
_atom_site_fract_x
_atom_site_fract_y
_atom_site_fract_z
Re1 0.000 0.000 0.000
B1 0.000 0.500 0.500
C1 0.500 0.500 0.500

---

# LiAc2CeTe5, optimized geometry, DFT GGA-PBE
# VASP energy, eV per atom: -4.95
# Crystal system: orthorhombic
# Formation energy (no corrections), eV per atom: -1.4222
data_LiAc2CeTe5
_chemical_formula_sum 'Li4 Ac8 Ce4 Te20'
_symmetry_space_group_name_H-M 'C m c 21'
_symmetry_Int_Tables_number 36
_cell_length_a 4.627
_cell_length_b 19.364
_cell_length_c 13.589
_cell_angle_alpha 90.00
_cell_angle_beta 90.00
_cell_angle_gamma 90.00
loop_
_symmetry_equiv_pos_as_xyz
'x,y,z'
'-x,-y,z+1/2'
'-x,y,z'
'x,-y,z+1/2'
'x+1/2,y+1/2,z'
'-x+1/2,-y+1/2,z+1/2'
'-x+1/2,y+1/2,z'
'x+1/2,-y+1/2,z+1/2'
loop_
_atom_site_label
_atom_site_fract_x
_atom_site_fract_y
_atom_site_fract_z
Li1 0.000 0.055 0.000
Ac1 0.000 0.375 0.843
Ac2 0.000 0.392 0.223
Ce1 0.000 0.301 0.546
Te1 0.000 0.001 0.318
Te2 0.000 0.137 0.537
Te3 0.000 0.188 0.885
Te4 0.000 0.213 0.205
Te5 0.000 0.452 0.603

---

# HfTeS2N, optimized geometry, DFT GGA-PBE
# VASP energy, eV per atom: -5.12
# Crystal system: tetragonal
# Offset from the most stable computed form, meV per atom: 860
# Formation energy (no corrections), eV per atom: 0.8152
data_HfTeS2N
_chemical_formula_sum 'Hf1 Te1 S2 N1'
_symmetry_space_group_name_H-M 'P 4/m m m'
_symmetry_Int_Tables_number 123
_symmetry_space_group_name_Hall '-P 4 2'
_cell_length_a 5.071
_cell_length_b 5.071
_cell_length_c 3.877
_cell_angle_alpha 90.00
_cell_angle_beta 90.00
_cell_angle_gamma 90.00
loop_
_atom_site_label
_atom_site_fract_x
_atom_site_fract_y
_atom_site_fract_z
Hf1 0.000 0.000 0.000
Te1 0.500 0.500 0.500
S1 0.000 0.500 0.500
N1 0.500 0.500 0.000

---

# AlTcHg2Pt, optimized geometry, DFT GGA-PBE
# VASP energy, eV per atom: -3.30
# Crystal system: tetragonal
# Offset from the most stable computed form, meV per atom: 0
data_AlTcHg2Pt
_chemical_formula_sum 'Al1 Tc1 Hg2 Pt1'
_symmetry_space_group_name_H-M 'P 4/m m m'
_symmetry_Int_Tables_number 123
_symmetry_space_group_name_Hall '-P 4 2'
_cell_length_a 5.113
_cell_length_b 5.113
_cell_length_c 4.573
_cell_angle_alpha 90.00
_cell_angle_beta 90.00
_cell_angle_gamma 90.00
loop_
_atom_site_label
_atom_site_fract_x
_atom_site_fract_y
_atom_site_fract_z
Al1 0.000 0.000 0.000
Tc1 0.500 0.500 0.000
Hg1 0.000 0.500 0.500
Pt1 0.000 0.000 0.500

---

# KTmRu2O8, optimized geometry, DFT GGA-PBE
# VASP energy, eV per atom: -6.81
# Crystal system: trigonal
# Formation energy (no corrections), eV per atom: -1.4959
data_KTmRu2O8
_chemical_formula_sum 'K1 Tm1 Ru2 O8'
_symmetry_space_group_name_H-M 'P -3'
_symmetry_Int_Tables_number 147
_cell_length_a 5.9059
_cell_length_b 5.9059
_cell_length_c 7.6241
_cell_angle_alpha 90.00
_cell_angle_beta 90.00
_cell_angle_gamma 120.00
loop_
_symmetry_equiv_pos_as_xyz
'x,y,z'
'-x,-y,-z'
'-y,x-y,z'
'y,-x+y,-z'
'-x+y,-x,z'
'x-y,x,-z'
loop_
_atom_site_label
_atom_site_fract_x
_atom_site_fract_y
_atom_site_fract_z
K1 0.0000 0.0000 0.0000
Tm1 0.0000 0.0000 0.5000
Ru1 0.3333 0.6667 0.7610
O1 0.1473 0.3347 0.6820
O2 0.3333 0.6667 0.9905

---

# PuZrCrTc, optimized geometry, DFT GGA-PBE
# VASP energy, eV per atom: -10.67
# Crystal system: cubic
data_PuZrCrTc
_chemical_formula_sum 'Pu4 Zr4 Cr4 Tc4'
_symmetry_space_group_name_H-M 'F -4 3 m'
_symmetry_Int_Tables_number 216
_symmetry_space_group_name_Hall 'F -4 2 3'
_cell_length_a 6.633
_cell_length_b 6.633
_cell_length_c 6.633
_cell_angle_alpha 90.00
_cell_angle_beta 90.00
_cell_angle_gamma 90.00
loop_
_atom_site_label
_atom_site_fract_x
_atom_site_fract_y
_atom_site_fract_z
Pu1 0.000 0.000 0.000
Zr1 0.000 0.000 0.500
Cr1 0.250 0.250 0.250
Tc1 0.250 0.250 0.750

---

# TlHg2SbCl, optimized geometry, DFT GGA-PBE
# VASP energy, eV per atom: -1.48
# Crystal system: tetragonal
# Formation energy (no corrections), eV per atom: 0.3089
data_TlHg2SbCl
_chemical_formula_sum 'Tl1 Hg2 Sb1 Cl1'
_symmetry_space_group_name_H-M 'P 4/m m m'
_symmetry_Int_Tables_number 123
_symmetry_space_group_name_Hall '-P 4 2'
_cell_length_a 5.475
_cell_length_b 5.475
_cell_length_c 5.754
_cell_angle_alpha 90.00
_cell_angle_beta 90.00
_cell_angle_gamma 90.00
loop_
_atom_site_label
_atom_site_fract_x
_atom_site_fract_y
_atom_site_fract_z
Tl1 0.000 0.000 0.000
Hg1 0.000 0.500 0.500
Sb1 0.500 0.500 0.000
Cl1 0.000 0.000 0.500

---

Repeat the twelfth record exactly.
# TlHg2SbCl, optimized geometry, DFT GGA-PBE
# VASP energy, eV per atom: -1.48
# Crystal system: tetragonal
# Formation energy (no corrections), eV per atom: 0.3089
data_TlHg2SbCl
_chemical_formula_sum 'Tl1 Hg2 Sb1 Cl1'
_symmetry_space_group_name_H-M 'P 4/m m m'
_symmetry_Int_Tables_number 123
_symmetry_space_group_name_Hall '-P 4 2'
_cell_length_a 5.475
_cell_length_b 5.475
_cell_length_c 5.754
_cell_angle_alpha 90.00
_cell_angle_beta 90.00
_cell_angle_gamma 90.00
loop_
_atom_site_label
_atom_site_fract_x
_atom_site_fract_y
_atom_site_fract_z
Tl1 0.000 0.000 0.000
Hg1 0.000 0.500 0.500
Sb1 0.500 0.500 0.000
Cl1 0.000 0.000 0.500

---

> What is the VASP energy in the fourth record?

-5.33 eV per atom